No. 1
Compound: Rh2WAu
Source: Alexandria via LeMat-Bulk
Functional: PBE-GGA
Structure: optimized geometry

```
Rh2WAu
1.0
2.796 0.000 0.000
0.000 4.007 0.000
0.000 0.000 5.535
Rh W Au
2 1 1
Cartesian
0.000 0.000 0.000 Rh
1.398 2.004 1.396 Rh
0.000 0.000 2.547 W
1.398 2.004 4.116 Au
```

The value obtained for the formation energy is 50 meV/atom. The total energy comes out at -7.68 eV per atom. Its total moment is 0.000 μB per atom.



No. 2
Compound: ZrAgRu
Source: Alexandria via LeMat-Bulk
Functional: PBE-GGA
Structure: optimized geometry

```
ZrAgRu
1.0
3.251 0.000 0.000
-1.626 2.816 0.000
0.000 0.000 6.353
Zr Ag Ru
1 1 1
Cartesian
0.000 0.000 0.000 Zr
0.000 1.877 2.369 Ag
1.626 0.939 4.585 Ru
```

The value obtained for the formation energy is 128 meV/atom. The total energy comes out at -6.76 eV per atom. Its total moment is 0.000 μB per atom.



No. 3
Compound: MgZrCr2
Source: Alexandria via LeMat-Bulk
Functional: PBE-GGA
Structure: optimized geometry

```
MgZrCr2
1.0
0.000 3.275 3.275
3.275 0.000 3.275
3.275 3.275 0.000
Mg Zr Cr
1 1 2
Cartesian
0.000 0.000 0.000 Mg
4.913 4.913 4.913 Zr
1.638 1.638 1.638 Cr
3.275 3.275 3.275 Cr
```

The value obtained for the formation energy is 347 meV/atom. The total energy comes out at -7.00 eV per atom. Its total moment is 0.009 μB per atom.



No. 4
Compound: Mn4InPt5
Source: Alexandria via LeMat-Bulk
Functional: PBE-GGA
Structure: optimized geometry

```
Mn4InPt5
1.0
3.176 0.000 0.000
0.000 3.176 0.000
0.000 0.000 15.644
Mn In Pt
4 1 5
Cartesian
0.000 0.000 1.509 Mn
0.000 0.000 4.540 Mn
0.000 0.000 11.104 Mn
0.000 0.000 14.134 Mn
0.000 0.000 7.822 In
1.588 1.588 0.000 Pt
1.588 1.588 3.012 Pt
1.588 1.588 6.024 Pt
1.588 1.588 9.619 Pt
1.588 1.588 12.631 Pt
```

The value obtained for the formation energy is -359 meV/atom. The total energy comes out at -7.32 eV per atom. Its total moment is 1.752 μB per atom.



No. 5
Compound: Pr2MgS
Source: Alexandria via LeMat-Bulk
Functional: PBE-GGA
Structure: optimized geometry

```
Pr2MgS
1.0
2.019 1.165 8.283
-2.019 1.165 8.283
0.000 -2.331 8.283
Pr Mg S
2 1 1
Cartesian
0.000 0.000 5.798 Pr
0.000 0.000 19.050 Pr
0.000 0.000 0.000 Mg
0.000 0.000 12.424 S
```

For the uncorrected formation energy, the calculation gives -21.98 kcal/mol of atoms. The total energy comes out at -4.77 eV per atom. Its total moment is 0.000 μB per atom.



No. 6
Compound: YMg3Tl3
Source: Alexandria via LeMat-Bulk
Functional: PBE-GGA
Structure: optimized geometry

```
YMg3Tl3
1.0
7.758 0.000 0.000
0.000 7.758 0.000
0.000 0.000 7.758
Y Mg Tl
2 6 6
Cartesian
0.000 0.000 0.000 Y
3.879 3.879 3.879 Y
0.000 1.939 3.879 Mg
0.000 5.818 3.879 Mg
1.939 3.879 0.000 Mg
3.879 0.000 1.939 Mg
3.879 0.000 5.818 Mg
5.818 3.879 0.000 Mg
0.000 3.879 1.939 Tl
0.000 3.879 5.818 Tl
1.939 0.000 3.879 Tl
3.879 1.939 0.000 Tl
3.879 5.818 0.000 Tl
5.818 0.000 3.879 Tl
```

The value obtained for the formation energy is 471 meV/atom. The total energy comes out at -2.15 eV per atom. Its total moment is 0.000 μB per atom.